This record from Alexandria describes an optimized crystal structure of K3Tl3Hg2. The functional is PBE-GGA.

Cell: 5.328 12.364 17.697 Å, 90.00 90.00 90.00°
Space group Cmcm (No. 63)
Symmetry-distinct sites (fractional):
K 0.000 0.079 0.110 [8 per cell]
K 0.000 0.370 0.250 [4 per cell]
Tl 0.000 0.338 0.750 [4 per cell]
Tl 0.000 0.374 0.036 [8 per cell]
Hg 0.000 0.214 0.603 [8 per cell]

Summary:
VASP energy = -1.516 eV/atom
DFT formation energy = -0.142 eV/atom

This record from Alexandria describes an optimized crystal structure of Ni2AgAu. The functional is PBE-GGA.

Cell: 2.7758 2.7758 26.2442 Å, 90.00 90.00 120.00°
Space group R-3m (No. 166, hexagonal axes)
Symmetry-distinct sites (fractional):
Ni 0.0000 0.0000 0.2499 [6 per cell]
Ag 0.0000 0.0000 0.0000 [3 per cell]
Au 0.0000 0.0000 0.5000 [3 per cell]

Summary:
VASP energy = -4.180 eV/atom
DFT formation energy = 0.243 eV/atom

This record from Alexandria describes an optimized crystal structure of Th2BeIr3. The functional is PBE-GGA.

Cell: 7.936 8.404 14.660 Å, 90.00 90.00 90.00°
Space group Fmmm (No. 69)
Symmetry-distinct sites (fractional):
Th 0.244 0.000 0.000 [8 per cell]
Th 0.250 0.250 0.250 [8 per cell]
Be 0.000 0.000 0.168 [8 per cell]
Ir 0.000 0.000 0.322 [8 per cell]
Ir 0.000 0.229 0.090 [16 per cell]

Summary:
VASP energy = -8.268 eV/atom
DFT formation energy = -0.743 eV/atom